Record 1
Entry from Alexandria via LeMat-Bulk: TlP2Os after structural relaxation (PBE).

```
TlP2Os
1.0
-0.4138 -7.3053 5.1617
-1.4656 -8.5019 2.3984
1.6680 -8.2871 2.9536
Os P Tl
1 2 1
Cartesian
-0.1585 -18.0708 7.8853 Os
-0.0048 -0.5464 0.2384 P
-0.1009 -11.5008 5.0184 P
-0.0528 -6.0236 2.6284 Tl
```

## Properties
ΔH_f (0 K): 0.180 eV/atom

***

Record 2
Entry from Alexandria via LeMat-Bulk: TlV2POs after structural relaxation (PBE).

```
TlV2POs
1.0
4.3688 0.0000 0.0000
0.0000 4.4419 0.0000
0.0000 0.0000 4.3688
P Tl Os V
1 1 1 2
Cartesian
0.0000 0.0000 0.0000 P
2.1844 2.2210 2.1844 Tl
0.0000 2.2210 0.0000 Os
0.0000 0.0000 2.1844 V
2.1844 0.0000 0.0000 V
```

## Properties
ΔH_f (0 K): 0.409 eV/atom

***

Record 3
Entry from Alexandria via LeMat-Bulk: Tl2ZnPOs after structural relaxation (PBE).

```
Tl2ZnPOs
1.0
5.2479 0.0000 0.0000
0.0000 5.2479 0.0000
0.0000 0.0000 4.4296
P Tl Os Zn
1 2 1 1
Cartesian
0.0000 0.0000 0.0000 P
0.0000 2.6239 0.0000 Tl
2.6239 0.0000 0.0000 Tl
2.6239 2.6239 2.2148 Os
0.0000 0.0000 2.2148 Zn
```

## Properties
ΔH_f (0 K): 1.379 eV/atom

***

Record 4
Entry from Alexandria via LeMat-Bulk: TmP2Os after structural relaxation (PBE).

```
TmP2Os
1.0
-0.5523 3.1665 2.0767
-1.8848 -0.1968 3.3246
3.8246 0.1088 4.3771
P Tm Os
2 1 1
Cartesian
0.0806 0.8202 2.2967 P
1.3069 2.2582 7.4818 P
0.6938 1.5392 4.8892 Tm
0.0000 0.0000 0.0000 Os
```

## Properties
ΔH_f (0 K): -0.756 eV/atom

***

Record 5
Entry from Alexandria via LeMat-Bulk: U2POs after structural relaxation (PBE).

```
U2POs
1.0
3.8579 0.0000 0.0000
1.9290 3.3410 0.0000
1.9290 1.1137 6.6793
Os U P
1 2 1
Cartesian
0.0000 0.0000 0.0000 Os
5.7869 3.3410 5.0603 U
1.9290 1.1137 1.6190 U
3.8579 2.2274 3.3397 P
```

## Properties
ΔH_f (0 K): -0.365 eV/atom

***

Record 6
Entry from Alexandria via LeMat-Bulk: UVP2Os after structural relaxation (PBE).

```
UVP2Os
1.0
-3.4859 -1.7067 1.1406
-0.5164 -1.4464 -3.7425
4.3550 -2.4167 2.5195
U V P Os
1 1 2 1
Cartesian
0.0000 0.0000 0.0000 U
-0.5661 -2.8500 1.1796 V
-1.4273 -2.5502 -1.0038 P
1.7799 -3.0196 0.9214 P
0.9187 -2.7199 -1.2620 Os
```

## Properties
ΔH_f (0 K): -0.615 eV/atom

***

Record 7
Entry from Alexandria via LeMat-Bulk: V2POs after structural relaxation (PBE).

```
V2POs
1.0
-3.0811 -0.0130 -0.4652
-0.1598 -2.8956 1.1400
-0.7562 1.9916 4.9527
P Os V
1 1 2
Cartesian
-1.6205 -1.4543 0.3374 P
-1.9986 -0.4585 2.8138 Os
-0.5862 1.5439 3.8394 V
-0.1700 0.4477 1.1133 V
```

## Properties
ΔH_f (0 K): -0.300 eV/atom

***

Record 8
Entry from Alexandria via LeMat-Bulk: V3POs after structural relaxation (PBE).

```
V3POs
1.0
4.5937 0.0000 0.0000
0.0000 4.5937 0.0000
0.0000 0.0000 4.5937
P Os V
1 1 3
Cartesian
2.2969 2.2969 2.2969 P
0.0000 0.0000 0.0000 Os
0.0000 2.2969 0.0000 V
0.0000 0.0000 2.2969 V
2.2969 0.0000 0.0000 V
```

## Properties
ΔH_f (0 K): 1.171 eV/atom